(1)
Here is crystalline Ac2HgBO6 at its relaxed geometry from Alexandria. Energies are from GGA-PBE.

Geometry as CIF:
```
data_Ac2HgBO6
_chemical_formula_sum 'Ac2 Hg1 B1 O6'
_cell_length_a 5.479
_cell_length_b 5.479
_cell_length_c 4.592
_cell_angle_alpha 90.00
_cell_angle_beta 90.00
_cell_angle_gamma 90.00
_space_group_name_H-M_alt 'P 1'
_space_group_IT_number 1
_space_group_name_Hall 'P 1'
loop_
_atom_site_label
_atom_site_fract_x
_atom_site_fract_y
_atom_site_fract_z
_atom_site_occupancy
Ac1 0.000 0.500 0.000 1
Ac2 0.500 0.000 0.000 1
Hg1 0.000 0.000 0.530 1
B1 0.500 0.500 0.514 1
O1 0.000 0.000 0.049 1
O2 0.290 0.290 0.643 1
O3 0.290 0.710 0.643 1
O4 0.500 0.500 0.207 1
O5 0.710 0.290 0.643 1
O6 0.710 0.710 0.643 1
```

Properties
spin magnetization: 0.0000 μB per atom
DFT total energy: -0.47684 Ry/atom
formation energy (no corrections): -1.993 eV per atom


(2)
Here is crystalline AcHgBO4 at its relaxed geometry from Alexandria. Energies are from GGA-PBE.

Geometry as CIF:
```
data_AcHgBO4
_chemical_formula_sum 'Ac2 Hg2 B2 O8'
_cell_length_a 7.437
_cell_length_b 7.437
_cell_length_c 7.437
_cell_angle_alpha 114.93
_cell_angle_beta 114.26
_cell_angle_gamma 99.64
_space_group_name_H-M_alt 'P 1'
_space_group_IT_number 1
_space_group_name_Hall 'P 1'
loop_
_atom_site_label
_atom_site_fract_x
_atom_site_fract_y
_atom_site_fract_z
_atom_site_occupancy
Ac1 0.500 0.000 0.000 1
Ac2 0.500 0.500 0.500 1
Hg1 0.000 0.000 0.000 1
Hg2 0.500 0.000 0.500 1
B1 0.230 0.480 0.750 1
B2 0.770 0.520 0.250 1
O1 0.241 0.333 0.592 1
O2 0.241 0.649 0.908 1
O3 0.272 0.201 0.071 1
O4 0.370 0.799 0.571 1
O5 0.630 0.201 0.429 1
O6 0.728 0.799 0.929 1
O7 0.759 0.351 0.092 1
O8 0.759 0.667 0.408 1
```

Properties
spin magnetization: 0.0000 μB per atom
DFT total energy: -0.47137 Ry/atom
formation energy (no corrections): -1.996 eV per atom


(3)
Here is crystalline AcHgBPd4 at its relaxed geometry from Alexandria. Energies are from GGA-PBE.

Geometry as CIF:
```
data_AcHgBPd4
_chemical_formula_sum 'Ac1 Hg1 B1 Pd4'
_cell_length_a 7.180
_cell_length_b 7.180
_cell_length_c 7.180
_cell_angle_alpha 60.00
_cell_angle_beta 60.00
_cell_angle_gamma 60.00
_space_group_name_H-M_alt 'P 1'
_space_group_IT_number 1
_space_group_name_Hall 'P 1'
loop_
_atom_site_label
_atom_site_fract_x
_atom_site_fract_y
_atom_site_fract_z
_atom_site_occupancy
Ac1 0.000 0.000 0.000 1
Hg1 0.250 0.250 0.250 1
B1 0.500 0.500 0.500 1
Pd1 0.393 0.393 0.393 1
Pd2 0.393 0.393 0.821 1
Pd3 0.393 0.821 0.393 1
Pd4 0.821 0.393 0.393 1
```

Properties
spin magnetization: 0.0000 μB per atom
formation enthalpy at 0 K: 712 meV per atom
DFT total energy: -0.28220 Ry/atom


(4)
Here is crystalline Ac2HgB3Pt12 at its relaxed geometry from Alexandria. Energies are from GGA-PBE.

Geometry as CIF:
```
data_Ac2HgB3Pt12
_chemical_formula_sum 'Ac2 Hg1 B3 Pt12'
_cell_length_a 7.668
_cell_length_b 7.668
_cell_length_c 7.668
_cell_angle_alpha 63.11
_cell_angle_beta 63.11
_cell_angle_gamma 63.11
_space_group_name_H-M_alt 'P 1'
_space_group_IT_number 1
_space_group_name_Hall 'P 1'
loop_
_atom_site_label
_atom_site_fract_x
_atom_site_fract_y
_atom_site_fract_z
_atom_site_occupancy
Ac1 0.106 0.106 0.106 1
Ac2 0.894 0.894 0.894 1
Hg1 0.500 0.500 0.500 1
B1 0.000 0.500 0.500 1
B2 0.500 0.000 0.500 1
B3 0.500 0.500 0.000 1
Pt1 0.101 0.624 0.624 1
Pt2 0.179 0.179 0.587 1
Pt3 0.179 0.587 0.179 1
Pt4 0.376 0.376 0.899 1
Pt5 0.376 0.899 0.376 1
Pt6 0.413 0.821 0.821 1
Pt7 0.587 0.179 0.179 1
Pt8 0.624 0.101 0.624 1
Pt9 0.624 0.624 0.101 1
Pt10 0.821 0.413 0.821 1
Pt11 0.821 0.821 0.413 1
Pt12 0.899 0.376 0.376 1
```

Properties
spin magnetization: 0.0000 μB per atom
formation enthalpy at 0 K: -356 meV per atom
DFT total energy: -0.43871 Ry/atom


(5)
Here is crystalline AcHo3B at its relaxed geometry from Alexandria. Energies are from GGA-PBE.

Geometry as CIF:
```
data_AcHo3B
_chemical_formula_sum 'Ac1 Ho3 B1'
_cell_length_a 5.219
_cell_length_b 5.219
_cell_length_c 5.219
_cell_angle_alpha 90.00
_cell_angle_beta 90.00
_cell_angle_gamma 90.00
_space_group_name_H-M_alt 'P 1'
_space_group_IT_number 1
_space_group_name_Hall 'P 1'
loop_
_atom_site_label
_atom_site_fract_x
_atom_site_fract_y
_atom_site_fract_z
_atom_site_occupancy
Ac1 0.000 0.000 0.000 1
Ho1 0.000 0.500 0.500 1
Ho2 0.500 0.000 0.500 1
Ho3 0.500 0.500 0.000 1
B1 0.500 0.500 0.500 1
```

Properties
spin magnetization: 0.0000 μB per atom
formation enthalpy at 0 K: 46 meV per atom
DFT total energy: -0.35703 Ry/atom


(6)
Here is crystalline AcHoB4 at its relaxed geometry from Alexandria. Energies are from GGA-PBE.

Geometry as CIF:
```
data_AcHoB4
_chemical_formula_sum 'Ac4 Ho4 B16'
_cell_length_a 7.750
_cell_length_b 12.026
_cell_length_c 3.868
_cell_angle_alpha 90.00
_cell_angle_beta 90.00
_cell_angle_gamma 90.00
_space_group_name_H-M_alt 'P 1'
_space_group_IT_number 1
_space_group_name_Hall 'P 1'
loop_
_atom_site_label
_atom_site_fract_x
_atom_site_fract_y
_atom_site_fract_z
_atom_site_occupancy
Ac1 0.107 0.125 0.000 1
Ac2 0.393 0.625 0.000 1
Ac3 0.607 0.375 0.000 1
Ac4 0.893 0.875 0.000 1
Ho1 0.100 0.383 0.000 1
Ho2 0.400 0.883 0.000 1
Ho3 0.600 0.117 0.000 1
Ho4 0.900 0.617 0.000 1
B1 0.115 0.535 0.500 1
B2 0.125 0.678 0.500 1
B3 0.183 0.805 0.500 1
B4 0.205 0.941 0.500 1
B5 0.295 0.441 0.500 1
B6 0.317 0.305 0.500 1
B7 0.375 0.178 0.500 1
B8 0.385 0.035 0.500 1
B9 0.615 0.965 0.500 1
B10 0.625 0.822 0.500 1
B11 0.683 0.695 0.500 1
B12 0.705 0.559 0.500 1
B13 0.795 0.059 0.500 1
B14 0.817 0.195 0.500 1
B15 0.875 0.322 0.500 1
B16 0.885 0.465 0.500 1
```

Properties
spin magnetization: 0.0000 μB per atom
formation enthalpy at 0 K: -250 meV per atom
DFT total energy: -0.45196 Ry/atom


(7)
Here is crystalline AcHoB2O6 at its relaxed geometry from Alexandria. Energies are from GGA-PBE.

Geometry as CIF:
```
data_AcHoB2O6
_chemical_formula_sum 'Ac2 Ho2 B4 O12'
_cell_length_a 6.436
_cell_length_b 6.436
_cell_length_c 6.543
_cell_angle_alpha 102.00
_cell_angle_beta 102.00
_cell_angle_gamma 99.72
_space_group_name_H-M_alt 'P 1'
_space_group_IT_number 1
_space_group_name_Hall 'P 1'
loop_
_atom_site_label
_atom_site_fract_x
_atom_site_fract_y
_atom_site_fract_z
_atom_site_occupancy
Ac1 0.152 0.848 0.750 1
Ac2 0.848 0.152 0.250 1
Ho1 0.409 0.591 0.250 1
Ho2 0.591 0.409 0.750 1
B1 0.126 0.365 0.729 1
B2 0.365 0.126 0.229 1
B3 0.635 0.874 0.771 1
B4 0.874 0.635 0.271 1
O1 0.079 0.595 0.327 1
O2 0.184 0.191 0.609 1
O3 0.191 0.184 0.109 1
O4 0.291 0.518 0.886 1
O5 0.405 0.921 0.173 1
O6 0.482 0.709 0.614 1
O7 0.518 0.291 0.386 1
O8 0.595 0.079 0.827 1
O9 0.709 0.482 0.114 1
O10 0.809 0.816 0.891 1
O11 0.816 0.809 0.391 1
O12 0.921 0.405 0.673 1
```

Properties
spin magnetization: 0.0000 μB per atom
DFT total energy: -0.60837 Ry/atom
formation energy (no corrections): -3.098 eV per atom


(8)
Here is crystalline Ac4BI5 at its relaxed geometry from Alexandria. Energies are from GGA-PBE.

Geometry as CIF:
```
data_Ac4BI5
_chemical_formula_sum 'Ac4 B1 I5'
_cell_length_a 10.465
_cell_length_b 10.465
_cell_length_c 9.427
_cell_angle_alpha 102.79
_cell_angle_beta 102.79
_cell_angle_gamma 24.51
_space_group_name_H-M_alt 'P 1'
_space_group_IT_number 1
_space_group_name_Hall 'P 1'
loop_
_atom_site_label
_atom_site_fract_x
_atom_site_fract_y
_atom_site_fract_z
_atom_site_occupancy
Ac1 0.001 0.001 0.295 1
Ac2 0.357 0.357 0.424 1
Ac3 0.643 0.643 0.576 1
Ac4 0.999 0.999 0.705 1
B1 0.500 0.500 0.500 1
I1 0.167 0.167 0.850 1
I2 0.173 0.173 0.324 1
I3 0.500 0.500 0.000 1
I4 0.827 0.827 0.676 1
I5 0.833 0.833 0.150 1
```

Properties
spin magnetization: 0.0011 μB per atom
DFT total energy: -0.30536 Ry/atom
formation energy (no corrections): -1.069 eV per atom